{"formula": "SiBiSe", "functional": "PBE", "state": "relaxed", "cell": [[2.0011, 1.1553, 11.8597], [-2.0011, 1.1553, 11.8597], [0.0000, -2.3107, 11.8597]], "species": ["Si", "Si", "Bi", "Bi", "Se", "Se"], "frac_coords": [[0.1545, 0.1545, 0.1545], [0.8455, 0.8455, 0.8455], [0.4280, 0.4280, 0.4280], [0.5720, 0.5720, 0.5720], [0.2849, 0.2849, 0.2849], [0.7151, 0.7151, 0.7151]], "formation_energy_uncorrected_ev_per_atom": 0.004, "total_magnetization_mub_per_cell": 0.000, "spacegroup": "R-3m (166)"}